1.
# Tb2Pr5Ho5

Tb2Pr5Ho5 after structural relaxation (GGA-PBE, Alexandria).

Cell and atoms, written as POSCAR:
```
Tb2Pr5Ho5
1.0
7.6570 -2.5463 0.0000
7.6570 2.5463 0.0000
-5.1196 0.0000 10.2342
Tb Pr Ho
2 5 5
direct
0.0832 0.0832 0.2528 Tb
0.9168 0.9168 0.7472 Tb
0.0000 0.0000 0.5000 Pr
0.1643 0.1643 0.9984 Pr
0.2504 0.2504 0.7477 Pr
0.7496 0.7496 0.2523 Pr
0.8357 0.8357 0.0016 Pr
0.3327 0.3327 0.4996 Ho
0.4186 0.4186 0.2515 Ho
0.5000 0.5000 0.0000 Ho
0.5814 0.5814 0.7485 Ho
0.6673 0.6673 0.5004 Ho
```

## Properties
- symmetry = C2/m
- size of the total moment (Bohr magnetons per cell) = 0.00
- formation energy from the elements (eV per atom) = 0.02

2.
# NiSbPt

NiSbPt after structural relaxation (GGA-PBE, Alexandria).

Cell and atoms, written as POSCAR:
```
NiSbPt
1.0
4.1603 0.0000 0.0000
0.0000 3.8857 0.0000
-1.2752 0.0000 6.0456
Ni Sb Pt
2 2 2
direct
0.2454 0.2500 0.4941 Ni
0.7546 0.7500 0.5059 Ni
0.3234 0.7500 0.7649 Sb
0.6766 0.2500 0.2351 Sb
0.1801 0.7500 0.1631 Pt
0.8199 0.2500 0.8369 Pt
```

## Properties
- raw formation energy (eV per atom) = -0.259
- symmetry = P2_1/m
- size of the total moment (Bohr magnetons per cell) = 0.00